First-principles (PBE-GGA) data for a geometry-optimized ErNp2O6 structure, as listed in the Alexandria database.

Values from the calculation:
Symmetry: P-3m1
Formation energy (no corrections) in kJ/mol of atoms: -312
M_tot in μB per atom: 0.556
Raw total energy in eV per atom: -9.917

Cell and atoms, written as CIF:
```
data_ErNp2O6
_chemical_formula_sum 'Er1 Np2 O6'
_cell_length_a 3.815
_cell_length_b 3.815
_cell_length_c 9.115
_cell_angle_alpha 90.00
_cell_angle_beta 90.00
_cell_angle_gamma 120.00
_symmetry_space_group_name_H-M 'P 1'
_symmetry_Int_Tables_number 1
_symmetry_space_group_name_Hall 'P 1'
loop_
_atom_site_label
_atom_site_type_symbol
_atom_site_fract_x
_atom_site_fract_y
_atom_site_fract_z
_atom_site_occupancy
O1 O 0.333 0.667 0.418 1
O2 O 0.000 0.000 0.260 1
O3 O 0.667 0.333 0.582 1
O4 O 0.333 0.667 0.907 1
O5 O 0.000 0.000 0.740 1
O6 O 0.667 0.333 0.093 1
Np1 Np 0.333 0.667 0.670 1
Np2 Np 0.667 0.333 0.330 1
Er1 Er 0.000 0.000 0.000 1
```